Record 1
First-principles (GGA-PBE) data for a relaxed structure of NbPdF2, as listed in Alexandria via LeMat-Bulk.

Cell and atoms, written as CIF:
```
data_NbPdF2
_chemical_formula_sum 'Nb3 Pd3 F6'
_cell_length_a 2.7919
_cell_length_b 2.7919
_cell_length_c 29.9197
_cell_angle_alpha 90.00
_cell_angle_beta 90.00
_cell_angle_gamma 120.00
_space_group_name_H-M_alt 'R -3 m'
_space_group_IT_number 166
_space_group_name_Hall '-R 3 2"'
loop_
_atom_site_label
_atom_site_type_symbol
_atom_site_fract_x
_atom_site_fract_y
_atom_site_fract_z
Nb1 Nb 0.0000 0.0000 0.0000
Pd1 Pd 0.0000 0.0000 0.5000
F1 F 0.0000 0.0000 0.3841
```

energy relative to the elements, uncorrected: -1323 meV/atom
offset from the most stable computed form: 0 meV per atom

Record 2
First-principles (GGA-PBE) data for a relaxed structure of TiSiGe, as listed in Alexandria via LeMat-Bulk.

Cell and atoms, written as CIF:
```
data_TiSiGe
_chemical_formula_sum 'Ti2 Si2 Ge2'
_cell_length_a 3.441
_cell_length_b 3.441
_cell_length_c 8.213
_cell_angle_alpha 90.00
_cell_angle_beta 90.00
_cell_angle_gamma 90.00
_space_group_name_H-M_alt 'P 4/n m m'
_space_group_IT_number 129
loop_
_space_group_symop_operation_xyz
'x,y,z'
'-x,-y,-z'
'-y+1/2,x,z'
'y+1/2,-x,-z'
'-x+1/2,-y+1/2,z'
'x+1/2,y+1/2,-z'
'y,-x+1/2,z'
'-y,x+1/2,-z'
'x+1/2,-y,-z'
'-x+1/2,y,z'
'-y,-x,-z'
'y,x,z'
'-x,y+1/2,-z'
'x,-y+1/2,z'
'y+1/2,x+1/2,-z'
'-y+1/2,-x+1/2,z'
loop_
_atom_site_label
_atom_site_type_symbol
_atom_site_fract_x
_atom_site_fract_y
_atom_site_fract_z
Ti1 Ti 0.250 0.250 0.245
Si1 Si 0.250 0.750 0.000
Ge1 Ge 0.250 0.250 0.589
```

energy relative to the elements, uncorrected: -346 meV/atom
offset from the most stable computed form: 141 meV per atom

Record 3
First-principles (GGA-PBE) data for a relaxed structure of SmErAgSb, as listed in Alexandria via LeMat-Bulk.

Cell and atoms, written as CIF:
```
data_SmErAgSb
_chemical_formula_sum 'Sm4 Er4 Ag4 Sb4'
_cell_length_a 7.431
_cell_length_b 7.431
_cell_length_c 7.431
_cell_angle_alpha 90.00
_cell_angle_beta 90.00
_cell_angle_gamma 90.00
_space_group_name_H-M_alt 'F -4 3 m'
_space_group_IT_number 216
_space_group_name_Hall 'F -4 2 3'
loop_
_atom_site_label
_atom_site_type_symbol
_atom_site_fract_x
_atom_site_fract_y
_atom_site_fract_z
Sm1 Sm 0.000 0.000 0.000
Er1 Er 0.000 0.000 0.500
Ag1 Ag 0.250 0.250 0.250
Sb1 Sb 0.250 0.250 0.750
```

energy relative to the elements, uncorrected: -538 meV/atom

Record 4
First-principles (GGA-PBE) data for a relaxed structure of Pr4Rh3Au, as listed in Alexandria via LeMat-Bulk.

Cell and atoms, written as CIF:
```
data_Pr4Rh3Au
_chemical_formula_sum 'Pr4 Rh3 Au1'
_cell_length_a 3.960
_cell_length_b 4.495
_cell_length_c 10.976
_cell_angle_alpha 90.00
_cell_angle_beta 90.00
_cell_angle_gamma 90.00
_space_group_name_H-M_alt 'P m m 2'
_space_group_IT_number 25
loop_
_space_group_symop_operation_xyz
'x,y,z'
'-x,-y,z'
'-x,y,z'
'x,-y,z'
loop_
_atom_site_label
_atom_site_type_symbol
_atom_site_fract_x
_atom_site_fract_y
_atom_site_fract_z
Pr1 Pr 0.000 0.000 0.000
Pr2 Pr 0.000 0.500 0.267
Pr3 Pr 0.500 0.000 0.481
Pr4 Pr 0.500 0.500 0.771
Rh1 Rh 0.000 0.500 0.542
Rh2 Rh 0.500 0.000 0.215
Rh3 Rh 0.500 0.500 0.037
Au1 Au 0.000 0.000 0.709
```

energy relative to the elements: -0.6909 eV/atom

Record 5
First-principles (GGA-PBE) data for a relaxed structure of KRbCa3, as listed in Alexandria via LeMat-Bulk.

Cell and atoms, written as CIF:
```
data_KRbCa3
_chemical_formula_sum 'K1 Rb1 Ca3'
_cell_length_a 6.929
_cell_length_b 6.929
_cell_length_c 6.929
_cell_angle_alpha 90.00
_cell_angle_beta 90.00
_cell_angle_gamma 90.00
_space_group_name_H-M_alt 'P m -3 m'
_space_group_IT_number 221
_space_group_name_Hall '-P 4 2 3'
loop_
_atom_site_label
_atom_site_type_symbol
_atom_site_fract_x
_atom_site_fract_y
_atom_site_fract_z
K1 K 0.000 0.000 0.000
Rb1 Rb 0.500 0.500 0.500
Ca1 Ca 0.000 0.000 0.500
```

energy relative to the elements: 0.6301 eV/atom
offset from the most stable computed form: 0 meV per atom

no.,energy (eV for the cell shown),magnetic moment (μB/cell)
1,-72.9,1.012
2,-37.9,0.000
3,-73.6,1.510
4,-50.0,0.000
5,-4.9,0.000